(1)
Compound: Ca3TaMn
Source: Alexandria via LeMat-Bulk
Functional: PBE
Structure: optimized geometry

a = 5.181 Å, b = 5.181 Å, c = 5.181 Å
α = 90.00°, β = 90.00°, γ = 90.00°
Atoms (fractional coordinates):
Ca 0.000 0.000 0.500
Mn 0.000 0.000 0.000
Ca 0.000 0.500 0.000
Ca 0.500 0.000 0.000
Ta 0.500 0.500 0.500

Values from the calculation:
The energy relative to the elements is 1.511 eV/atom. Its volume is 139 Å³ per cell. As for the symmetry: Pm-3m. The density of states at the Fermi level is 15.1 states/eV/cell.

(2)
Compound: Ta2CuMoH
Source: Alexandria via LeMat-Bulk
Functional: PBE
Structure: optimized geometry

a = 4.185 Å, b = 4.185 Å, c = 3.781 Å
α = 90.00°, β = 90.00°, γ = 90.00°
Atoms (fractional coordinates):
Cu 0.500 0.500 0.500
Ta 0.000 0.500 0.000
Ta 0.500 0.000 0.000
H 0.000 0.000 0.000
Mo 0.000 0.000 0.500

Values from the calculation:
Its volume is 66 Å³ per cell. As for the symmetry: P4/mmm. For the total DFT energy (no corrections), the calculation gives -8.334 eV/atom. The density of states at the Fermi level is 3.7 states/eV/cell.

(3)
Compound: Fe2Cu2Si
Source: Alexandria via LeMat-Bulk
Functional: PBE
Structure: optimized geometry

a = 5.715 Å, b = 5.715 Å, c = 3.836 Å
α = 90.00°, β = 90.00°, γ = 90.00°
Atoms (fractional coordinates):
Cu 0.336 0.164 0.500
Fe 0.136 0.364 0.000
Si 0.000 0.000 0.000
Fe 0.864 0.636 0.000
Fe 0.636 0.136 0.000
Fe 0.364 0.864 0.000
Cu 0.664 0.836 0.500
Si 0.500 0.500 0.000
Cu 0.836 0.336 0.500
Cu 0.164 0.664 0.500

Values from the calculation:
Its volume is 125 Å³ per cell. As for the symmetry: P4/mbm. The density of states at the Fermi level is 7.5 states/eV/cell. The formation energy without anion corrections comes out at 0.14 eV/atom.

(4)
Compound: LiH2Pb
Source: Alexandria via LeMat-Bulk
Functional: PBE
Structure: optimized geometry

a = 3.337 Å, b = 6.133 Å, c = 7.011 Å
α = 65.34°, β = 76.22°, γ = 74.33°
Atoms (fractional coordinates):
Li 0.432 0.491 0.250
H 0.255 0.664 0.431
H 0.643 0.907 0.407
H 0.013 0.346 0.232
H 0.576 0.031 0.420
Pb 0.883 0.976 0.870
Li 0.159 0.025 0.258
Pb 0.170 0.492 0.760

Values from the calculation:
Its volume is 124 Å³ per cell. As for the symmetry: P1. For the total DFT energy (no corrections), the calculation gives -3.086 eV/atom. The density of states at the Fermi level is 1.0 states/eV/cell.

(5)
Compound: NdNpTlO6
Source: Alexandria via LeMat-Bulk
Functional: PBE
Structure: optimized geometry

a = 5.655 Å, b = 5.655 Å, c = 10.301 Å
α = 90.00°, β = 90.00°, γ = 120.00°
Atoms (fractional coordinates):
Tl 0.667 0.333 0.750
Np 0.333 0.667 0.750
O 0.332 0.971 0.635
Tl 0.333 0.667 0.250
O 0.029 0.668 0.865
O 0.668 0.029 0.365
O 0.971 0.639 0.365
O 0.332 0.361 0.865
O 0.971 0.332 0.135
O 0.361 0.332 0.365
O 0.668 0.639 0.135
O 0.639 0.971 0.865
Nd 0.000 0.000 0.000
O 0.639 0.668 0.635
O 0.361 0.029 0.135
Nd 0.000 0.000 0.500
Np 0.667 0.333 0.250
O 0.029 0.361 0.635

Values from the calculation:
Its volume is 285 Å³ per cell. As for the symmetry: P-31c. The density of states at the Fermi level is 2.0 states/eV/cell. The formation energy without anion corrections comes out at -2.32 eV/atom.

(6)
Compound: Dy2Al5Zn12
Source: Alexandria via LeMat-Bulk
Functional: PBE
Structure: optimized geometry

a = 6.864 Å, b = 6.864 Å, c = 6.864 Å
α = 82.81°, β = 82.81°, γ = 82.81°
Atoms (fractional coordinates):
Zn 0.304 0.696 0.000
Zn 0.646 0.646 0.164
Zn 0.696 0.304 0.000
Dy 0.332 0.332 0.332
Zn 0.646 0.164 0.646
Al 0.000 0.500 0.000
Al 0.500 0.000 0.000
Zn 0.696 0.000 0.304
Zn 0.354 0.836 0.354
Zn 0.354 0.354 0.836
Zn 0.000 0.696 0.304
Zn 0.836 0.354 0.354
Dy 0.668 0.668 0.668
Al 0.099 0.099 0.099
Al 0.000 0.000 0.500
Zn 0.000 0.304 0.696
Zn 0.164 0.646 0.646
Al 0.901 0.901 0.901
Zn 0.304 0.000 0.696

Values from the calculation:
The energy relative to the elements is -0.184 eV/atom. Its volume is 316 Å³ per cell. As for the symmetry: R-3m. The density of states at the Fermi level is 5.1 states/eV/cell.

(7)
Compound: CeSiB
Source: Alexandria via LeMat-Bulk
Functional: PBE
Structure: optimized geometry

a = 4.352 Å, b = 3.562 Å, c = 3.562 Å
α = 120.00°, β = 90.00°, γ = 90.00°
Atoms (fractional coordinates):
Ce 0.667 0.333 0.667
Si 0.166 0.000 0.000
B 0.167 0.667 0.333

Values from the calculation:
Its volume is 48 Å³ per cell. As for the symmetry: P-6m2. The density of states at the Fermi level is 3.6 states/eV/cell. The formation energy without anion corrections comes out at -0.62 eV/atom.

(8)
Compound: CsTlSn
Source: Alexandria via LeMat-Bulk
Functional: PBE
Structure: optimized geometry

a = 7.559 Å, b = 4.677 Å, c = 7.975 Å
α = 106.85°, β = 73.84°, γ = 108.03°
Atoms (fractional coordinates):
Sn 0.929 0.438 0.056
Sn 0.169 0.086 0.113
Cs 0.525 0.861 0.311
Cs 0.954 0.718 0.590
Tl 0.579 0.163 0.859
Tl 0.304 0.481 0.769

Values from the calculation:
The energy relative to the elements is -0.161 eV/atom. Its volume is 251 Å³ per cell. As for the symmetry: P1. The density of states at the Fermi level is 4.0 states/eV/cell.